No. 1
First-principles (PBEsol) data for crystalline BaPF2 at its relaxed geometry, as listed in Alexandria via LeMat-Bulk.

Cell: 4.372 4.372 12.754 Å, 90.00 90.00 120.00°
Element x y z (fractional)
1 Ba 0.000 0.000 0.000
2 Ba 0.333 0.667 0.667
3 Ba 0.667 0.333 0.333
4 P 0.000 0.000 0.500
5 P 0.333 0.667 0.167
6 P 0.667 0.333 0.833
7 F 0.000 0.000 0.215
8 F 0.000 0.000 0.785
9 F 0.333 0.667 0.452
10 F 0.333 0.667 0.882
11 F 0.667 0.333 0.118
12 F 0.667 0.333 0.548

- Energy relative to the lowest polymorph listed for this composition: 0.347 eV per atom
- Crystal system: trigonal
- Raw formation energy: -1.714 eV/atom
- Density: 4.87 Mg/m³
- Magnetic moment: 1.01 μB per formula unit

***

No. 2
First-principles (PBEsol) data for crystalline LaTa2AlS at its relaxed geometry, as listed in Alexandria via LeMat-Bulk.

Cell: 4.596 4.596 5.122 Å, 90.00 90.00 90.00°
Element x y z (fractional)
1 La 0.000 0.000 0.000
2 Ta 0.000 0.500 0.500
3 Ta 0.500 0.000 0.500
4 Al 0.500 0.500 0.000
5 S 0.500 0.500 0.500

- Crystal system: tetragonal
- Raw formation energy: 0.150 eV/atom
- Density: 8.59 Mg/m³
- Magnetic moment: 0.00 μB per formula unit

***

No. 3
First-principles (PBEsol) data for crystalline KSiIr2 at its relaxed geometry, as listed in Alexandria via LeMat-Bulk.

Cell: 2.902 2.902 27.454 Å, 90.00 90.00 120.00°
Element x y z (fractional)
1 K 0.000 0.000 0.000
2 K 0.333 0.667 0.667
3 K 0.667 0.333 0.333
4 Si 0.000 0.000 0.500
5 Si 0.333 0.667 0.167
6 Si 0.667 0.333 0.833
7 Ir 0.000 0.000 0.230
8 Ir 0.000 0.000 0.770
9 Ir 0.333 0.667 0.437
10 Ir 0.333 0.667 0.897
11 Ir 0.667 0.333 0.103
12 Ir 0.667 0.333 0.563

- Crystal system: trigonal
- Raw formation energy: 0.119 eV/atom
- Density: 11.24 Mg/m³
- Magnetic moment: 0.00 μB per formula unit

***

No. 4
First-principles (PBEsol) data for crystalline CsYHgSe3 at its relaxed geometry, as listed in Alexandria via LeMat-Bulk.

Cell: 8.201 8.201 10.923 Å, 90.00 90.00 150.28°
Element x y z (fractional)
1 Cs 0.246 0.754 0.750
2 Cs 0.754 0.246 0.250
3 Y 0.500 0.500 0.000
4 Y 0.500 0.500 0.500
5 Hg 0.045 0.955 0.250
6 Hg 0.955 0.045 0.750
7 Se 0.121 0.879 0.040
8 Se 0.121 0.879 0.460
9 Se 0.437 0.563 0.250
10 Se 0.563 0.437 0.750
11 Se 0.879 0.121 0.540
12 Se 0.879 0.121 0.960

- Crystal system: orthorhombic
- Raw formation energy: -1.258 eV/atom
- Density: 6.01 Mg/m³
- Magnetic moment: 0.00 μB per formula unit

***

No. 5
First-principles (PBEsol) data for crystalline Te2PtN2 at its relaxed geometry, as listed in Alexandria via LeMat-Bulk.

Cell: 3.894 3.894 7.348 Å, 90.00 90.00 90.00°
Element x y z (fractional)
1 Te 0.000 0.000 0.000
2 Te 0.500 0.500 0.000
3 Pt 0.000 0.000 0.500
4 N 0.000 0.500 0.500
5 N 0.500 0.000 0.500

- Crystal system: tetragonal
- Raw formation energy: 1.216 eV/atom
- Density: 7.13 Mg/m³
- Magnetic moment: 0.00 μB per formula unit

***

No. 6
First-principles (PBEsol) data for crystalline POsW2 at its relaxed geometry, as listed in Alexandria via LeMat-Bulk.

Cell: 3.665 3.665 4.274 Å, 90.00 90.00 90.00°
Element x y z (fractional)
1 P 0.000 0.000 0.000
2 Os 0.500 0.500 0.000
3 W 0.000 0.500 0.500
4 W 0.500 0.000 0.500

- Crystal system: tetragonal
- Total DFT energy (no corrections): -10.97 eV/atom
- Density: 17.03 Mg/m³
- Magnetic moment: 0.00 μB per formula unit

***

No. 7
First-principles (PBEsol) data for crystalline Li2V3TeO8 at its relaxed geometry, as listed in Alexandria via LeMat-Bulk.

Cell: 5.792 5.792 10.120 Å, 90.00 90.00 120.00°
Element x y z (fractional)
1 Li 0.000 0.000 0.000
2 Li 0.000 0.000 0.500
3 Li 0.333 0.667 0.091
4 Li 0.667 0.333 0.591
5 V 0.177 0.355 0.772
6 V 0.177 0.823 0.772
7 V 0.355 0.177 0.272
8 V 0.645 0.823 0.772
9 V 0.823 0.177 0.272
10 V 0.823 0.645 0.272
11 Te 0.333 0.667 0.487
12 Te 0.667 0.333 0.987
13 O 0.000 0.000 0.185
14 O 0.000 0.000 0.685
15 O 0.021 0.511 0.660
16 O 0.159 0.318 0.387
17 O 0.159 0.841 0.387
18 O 0.318 0.159 0.887
19 O 0.333 0.667 0.889
20 O 0.489 0.511 0.660
21 O 0.489 0.979 0.660
22 O 0.511 0.021 0.160
23 O 0.511 0.489 0.160
24 O 0.667 0.333 0.389
25 O 0.682 0.841 0.387
26 O 0.841 0.159 0.887
27 O 0.841 0.682 0.887
28 O 0.979 0.489 0.160

- Energy relative to the lowest polymorph listed for this composition: 0.000 eV per atom
- Crystal system: hexagonal
- Raw formation energy: -2.031 eV/atom
- Density: 4.77 Mg/m³
- Magnetic moment: 4.97 μB per formula unit

***

No. 8
First-principles (PBEsol) data for crystalline CrInRe2 at its relaxed geometry, as listed in Alexandria via LeMat-Bulk.

Cell: 3.776 3.776 8.453 Å, 90.00 90.00 90.00°
Element x y z (fractional)
1 Cr 0.000 0.000 0.000
2 Cr 0.500 0.500 0.500
3 In 0.000 0.000 0.500
4 In 0.500 0.500 0.000
5 Re 0.000 0.500 0.250
6 Re 0.000 0.500 0.750
7 Re 0.500 0.000 0.250
8 Re 0.500 0.000 0.750

- Crystal system: tetragonal
- Total DFT energy (no corrections): -9.45 eV/atom
- Density: 14.86 Mg/m³
- Magnetic moment: 1.53 μB per formula unit

***

No. 9
First-principles (PBEsol) data for crystalline BaSb3Cl at its relaxed geometry, as listed in Alexandria via LeMat-Bulk.

Cell: 6.116 6.116 6.116 Å, 90.00 90.00 90.00°
Element x y z (fractional)
1 Ba 0.000 0.000 0.000
2 Sb 0.000 0.000 0.500
3 Sb 0.000 0.500 0.000
4 Sb 0.500 0.000 0.000
5 Cl 0.500 0.500 0.500

- Energy relative to the lowest polymorph listed for this composition: 1.074 eV per atom
- Crystal system: cubic
- Raw formation energy: 0.991 eV/atom
- Density: 3.91 Mg/m³
- Magnetic moment: 0.00 μB per formula unit

***

No. 10
First-principles (PBEsol) data for crystalline CuSe2Cl at its relaxed geometry, as listed in Alexandria via LeMat-Bulk.

Cell: 4.172 4.172 19.113 Å, 90.00 90.00 90.00°
Element x y z (fractional)
1 Cu 0.000 0.000 0.000
2 Cu 0.000 0.500 0.250
3 Cu 0.500 0.000 0.750
4 Cu 0.500 0.500 0.500
5 Se 0.145 0.250 0.125
6 Se 0.250 0.645 0.375
7 Se 0.250 0.855 0.875
8 Se 0.355 0.250 0.625
9 Se 0.645 0.750 0.625
10 Se 0.750 0.145 0.875
11 Se 0.750 0.355 0.375
12 Se 0.855 0.750 0.125
13 Cl 0.000 0.000 0.500
14 Cl 0.000 0.500 0.750
15 Cl 0.500 0.000 0.250
16 Cl 0.500 0.500 0.000

- Energy relative to the lowest polymorph listed for this composition: 0.462 eV per atom
- Crystal system: tetragonal
- Raw formation energy: 0.198 eV/atom
- Density: 5.13 Mg/m³
- Magnetic moment: 0.00 μB per formula unit

***

No. 11
First-principles (PBEsol) data for crystalline CaCrP2 at its relaxed geometry, as listed in Alexandria via LeMat-Bulk.

Cell: 3.393 3.393 6.745 Å, 90.00 90.00 90.00°
Element x y z (fractional)
1 Ca 0.000 0.000 0.000
2 Cr 0.500 0.500 0.456
3 P 0.000 0.000 0.423
4 P 0.500 0.500 0.790

- Energy relative to the lowest polymorph listed for this composition: 0.000 eV per atom
- Crystal system: tetragonal
- Density: 3.29 Mg/m³
- Magnetic moment: 2.36 μB per formula unit

***

No. 12
First-principles (PBEsol) data for crystalline TiZn2AgIr at its relaxed geometry, as listed in Alexandria via LeMat-Bulk.

Cell: 4.726 4.726 4.563 Å, 90.00 90.00 90.00°
Element x y z (fractional)
1 Ti 0.000 0.000 0.000
2 Zn 0.000 0.500 0.500
3 Zn 0.500 0.000 0.500
4 Ag 0.500 0.500 0.000
5 Ir 0.000 0.000 0.500

- Crystal system: tetragonal
- Total DFT energy (no corrections): -4.52 eV/atom
- Density: 7.80 Mg/m³
- Magnetic moment: 0.00 μB per formula unit

***

No. 13
First-principles (PBEsol) data for crystalline BaCuW at its relaxed geometry, as listed in Alexandria via LeMat-Bulk.

Cell: 4.900 4.900 2.980 Å, 90.00 90.00 120.00°
Element x y z (fractional)
1 Ba 0.000 0.000 0.000
2 Cu 0.333 0.667 0.500
3 W 0.667 0.333 0.500

- Crystal system: hexagonal
- Total DFT energy (no corrections): -5.38 eV/atom
- Density: 10.31 Mg/m³
- Magnetic moment: 0.00 μB per formula unit

***

No. 14
First-principles (PBEsol) data for crystalline LaSc2 at its relaxed geometry, as listed in Alexandria via LeMat-Bulk.

Cell: 3.414 4.586 10.175 Å, 90.00 90.00 90.00°
Element x y z (fractional)
1 La 0.000 0.000 0.000
2 La 0.500 0.500 0.500
3 Sc 0.000 0.000 0.326
4 Sc 0.000 0.000 0.674
5 Sc 0.500 0.500 0.174
6 Sc 0.500 0.500 0.826

- Energy relative to the lowest polymorph listed for this composition: 0.008 eV per atom
- Crystal system: orthorhombic
- Density: 4.77 Mg/m³
- Magnetic moment: 0.00 μB per formula unit

***

Calculated calculated volume (Å³ per atom), listed in the same order as above: 17.60, 21.64, 16.68, 30.35, 22.29, 14.36, 10.50, 15.06, 45.76, 20.79, 19.41, 20.38, 20.65, 26.55